A plane-wave DFT calculation with PBE was carried out for crystalline Se12S5I3 at its relaxed geometry.

Cell and atoms, written as POSCAR:
```
Se12S5I3
1.0
-13.190 -6.030 2.086
10.372 -9.138 4.860
0.803 12.651 7.347
S Se I
20 48 12
direct
0.000 0.000 0.000
0.500 0.500 0.000
0.000 0.500 0.500
0.125 0.375 0.250
0.125 0.750 0.375
0.875 0.250 0.625
0.625 0.875 0.250
0.750 0.125 0.875
0.500 0.000 0.500
0.875 0.625 0.750
0.375 0.125 0.750
0.250 0.875 0.125
0.250 0.375 0.625
0.625 0.750 0.875
0.750 0.625 0.375
0.500 0.000 0.000
0.500 0.500 0.500
0.000 0.500 0.000
0.000 0.000 0.500
0.375 0.250 0.125
0.398 0.505 0.821
0.495 0.893 0.316
0.607 0.684 0.005
0.107 0.602 0.423
0.107 0.505 0.184
0.893 0.398 0.577
0.179 0.184 0.077
0.495 0.602 0.679
0.898 0.321 0.005
0.505 0.107 0.684
0.816 0.995 0.893
0.679 0.577 0.684
0.995 0.179 0.102
0.316 0.393 0.495
0.321 0.898 0.505
0.577 0.898 0.893
0.602 0.107 0.923
0.923 0.607 0.602
0.184 0.179 0.577
0.816 0.821 0.423
0.179 0.995 0.602
0.393 0.316 0.995
0.005 0.184 0.607
0.684 0.607 0.505
0.184 0.005 0.107
0.505 0.398 0.321
0.423 0.321 0.816
0.607 0.923 0.102
0.393 0.077 0.898
0.398 0.893 0.077
0.321 0.423 0.316
0.821 0.816 0.923
0.077 0.393 0.398
0.898 0.577 0.393
0.577 0.679 0.184
0.602 0.495 0.179
0.684 0.077 0.679
0.995 0.816 0.393
0.316 0.923 0.321
0.102 0.679 0.995
0.821 0.005 0.398
0.679 0.102 0.495
0.893 0.495 0.816
0.923 0.316 0.821
0.077 0.684 0.179
0.102 0.423 0.607
0.423 0.102 0.107
0.005 0.821 0.898
0.125 0.250 0.875
0.250 0.125 0.375
0.875 0.125 0.250
0.625 0.375 0.750
0.750 0.875 0.625
0.250 0.625 0.875
0.125 0.875 0.750
0.375 0.625 0.250
0.625 0.250 0.375
0.750 0.375 0.125
0.875 0.750 0.125
0.375 0.750 0.625
```

Values from the calculation:
- Raw formation energy: 0.424 eV per atom
- Total DFT energy (no corrections): -2.93 eV/atom
- D(E_F): 35.92 states/eV/cell